# PBE SrTmSn, relaxed
data_SrTmSn
_symmetry_space_group_name_H-M 'F -4 3 m'
_symmetry_Int_Tables_number 216
_symmetry_space_group_name_Hall 'F -4 2 3'
_cell_length_a 7.527
_cell_length_b 7.527
_cell_length_c 7.527
_cell_angle_alpha 90.00
_cell_angle_beta 90.00
_cell_angle_gamma 90.00
loop_
_atom_site_label
_atom_site_fract_x
_atom_site_fract_y
_atom_site_fract_z
_atom_site_occupancy
Sr1 0.000 0.000 0.000 1
Tm1 0.250 0.250 0.750 1
Sn1 0.000 0.000 0.500 1
# - ρ: 5.8 g cm⁻³
# - Size of the total moment: 0.0070 μB/atom
# - Total energy: -3.312 eV per atom